A) MgCuS2N, relaxed, DFT PBE-GGA; total magnetization = 0.0 μB/f.u.; Fermi-level density of states = 1.123 states/eV per atom
1.0
-4.295 0.042 -2.138
-1.972 -1.938 3.922
-0.667 3.534 1.411
S Mg Cu N
2 1 1 1
direct
0.000 0.500 0.000
0.500 0.000 0.000
0.000 0.000 0.000
0.500 0.500 0.500
0.000 0.000 0.500

B) MgCuS2N, relaxed, DFT PBE-GGA; total magnetization = 1.4 μB/f.u.; Fermi-level density of states = 0.656 states/eV per atom
1.0
-3.007 -0.072 -3.676
3.178 -2.439 -2.552
-1.405 -3.096 1.210
S Mg Cu N
2 1 1 1
direct
0.000 0.500 0.000
0.500 0.000 0.000
0.500 0.500 0.500
0.000 0.000 0.000
0.000 0.000 0.500

Computed stability ranking, most favorable first: B), A)

A) MgCuSN2, relaxed, DFT PBE-GGA; total magnetization = 2.8 μB/f.u.; Fermi-level density of states = 0.266 states/eV per atom
1.0
3.685 0.000 0.000
0.000 3.685 0.000
0.000 0.000 5.454
S Mg Cu N
1 1 1 2
direct
0.000 0.000 0.500
0.500 0.500 0.500
0.000 0.000 0.000
0.000 0.500 0.000
0.500 0.000 0.000

B) MgCuSN2, relaxed, DFT PBE-GGA; total magnetization = 3.9 μB/f.u.; Fermi-level density of states = 0.699 states/eV per atom
1.0
3.935 0.000 0.000
0.000 3.935 0.000
0.000 0.000 5.251
S Mg Cu N
1 1 1 2
direct
0.000 0.000 0.500
0.000 0.000 0.000
0.500 0.500 0.500
0.000 0.500 0.000
0.500 0.000 0.000

Computed stability ranking, most favorable first: A), B)

A) MgCuSe2N, relaxed, DFT PBE-GGA; total magnetization = 2.5 μB/f.u.; Fermi-level density of states = 1.065 states/eV per atom
1.0
5.127 0.000 0.000
0.000 5.127 0.000
0.000 0.000 3.926
Mg Cu Se N
1 1 2 1
direct
0.000 0.000 0.000
0.500 0.500 0.500
0.000 0.500 0.000
0.500 0.000 0.000
0.000 0.000 0.500

B) MgCuSe2N, relaxed, DFT PBE-GGA; total magnetization = 1.2 μB/f.u.; Fermi-level density of states = 0.646 states/eV per atom
1.0
-0.961 -2.445 4.329
3.841 -3.165 -0.935
2.225 2.189 1.730
Mg Cu Se N
1 1 2 1
direct
0.500 0.500 0.500
0.000 0.000 0.000
0.000 0.500 0.000
0.500 0.000 0.000
0.000 0.000 0.500

Computed stability ranking, most favorable first: B), A)

A) MgCuTeN2, relaxed, DFT PBE-GGA; total magnetization = 3.2 μB/f.u.; Fermi-level density of states = 0.405 states/eV per atom
1.0
3.956 0.000 0.000
0.000 3.956 0.000
0.000 0.000 5.580
Mg Te Cu N
1 1 1 2
direct
0.500 0.500 0.500
0.000 0.000 0.500
0.000 0.000 0.000
0.000 0.500 0.000
0.500 0.000 0.000

B) MgCuTeN2, relaxed, DFT PBE-GGA; total magnetization = 4.2 μB/f.u.; Fermi-level density of states = 0.482 states/eV per atom
1.0
-2.268 -3.332 0.247
1.700 -1.407 -3.382
4.384 -2.737 3.342
Mg Te Cu N
1 1 1 2
direct
0.000 0.000 0.000
0.000 0.000 0.500
0.500 0.500 0.500
0.000 0.500 0.000
0.500 0.000 0.000

Computed stability ranking, most favorable first: A), B)

A) NaMg2Cu2, relaxed, DFT PBE-GGA; total magnetization = 0.0 μB/f.u.; Fermi-level density of states = 0.431 states/eV per atom
1.0
4.293 0.000 0.000
0.000 4.293 0.000
2.146 2.146 5.616
Na Mg Cu
1 2 2
direct
0.000 0.000 0.000
0.750 0.250 0.500
0.250 0.750 0.500
0.394 0.394 0.212
0.606 0.606 0.788

B) NaMg2Cu2, relaxed, DFT PBE-GGA; total magnetization = 0.0 μB/f.u.; Fermi-level density of states = 0.286 states/eV per atom
1.0
-6.434 -3.505 -3.054
-1.266 -3.697 6.909
-1.648 2.243 0.898
Na Mg Cu
2 4 4
direct
0.000 0.000 0.000
0.500 0.500 0.000
0.366 0.866 0.000
0.866 0.634 0.000
0.634 0.134 0.000
0.134 0.366 0.000
0.161 0.661 0.500
0.661 0.839 0.500
0.839 0.339 0.500
0.339 0.161 0.500

Computed stability ranking, most favorable first: B), A)

A) Na2MgCu2, relaxed, DFT PBE-GGA; total magnetization = 0.0 μB/f.u.; Fermi-level density of states = 0.320 states/eV per atom
1.0
-1.387 7.975 -2.024
-7.981 -0.805 2.297
0.691 0.800 2.680
Na Mg Cu
4 2 4
direct
0.375 0.875 0.000
0.875 0.625 0.000
0.625 0.125 0.000
0.125 0.375 0.000
0.000 0.000 0.000
0.500 0.500 0.000
0.175 0.675 0.500
0.675 0.825 0.500
0.825 0.325 0.500
0.325 0.175 0.500

B) Na2MgCu2, relaxed, DFT PBE-GGA; total magnetization = 0.0 μB/f.u.; Fermi-level density of states = 0.413 states/eV per atom
1.0
-3.713 -0.766 -1.230
1.160 -3.598 -1.261
-2.715 -4.723 4.680
Na Mg Cu
2 1 2
direct
0.750 0.250 0.500
0.250 0.750 0.500
0.000 0.000 0.000
0.413 0.413 0.174
0.587 0.587 0.826

Computed stability ranking, most favorable first: B), A)

A) Mg2Nb2Cu, relaxed, DFT PBE-GGA; total magnetization = 0.0 μB/f.u.; Fermi-level density of states = 1.093 states/eV per atom
1.0
-2.729 -1.405 -2.189
-0.437 -2.880 2.393
-6.340 1.542 3.667
Nb Mg Cu
2 2 1
direct
0.420 0.420 0.160
0.580 0.580 0.840
0.750 0.250 0.500
0.250 0.750 0.500
0.000 0.000 0.000

B) Mg2Nb2Cu, relaxed, DFT PBE-GGA; total magnetization = 0.0 μB/f.u.; Fermi-level density of states = 0.655 states/eV per atom
1.0
8.322 0.000 0.000
0.000 8.322 0.000
0.000 0.000 2.898
Nb Mg Cu
4 4 2
direct
0.394 0.894 0.000
0.894 0.606 0.000
0.606 0.106 0.000
0.106 0.394 0.000
0.189 0.689 0.500
0.689 0.811 0.500
0.811 0.311 0.500
0.311 0.189 0.500
0.000 0.000 0.000
0.500 0.500 0.000

Computed stability ranking, most favorable first: B), A)

A) Mg2NbCu2, relaxed, DFT PBE-GGA; total magnetization = 0.2 μB/f.u.; Fermi-level density of states = 0.779 states/eV per atom
1.0
7.665 0.000 0.000
0.000 7.665 0.000
0.000 0.000 2.717
Nb Mg Cu
2 4 4
direct
0.000 0.000 0.000
0.500 0.500 0.000
0.369 0.869 0.000
0.869 0.631 0.000
0.631 0.131 0.000
0.131 0.369 0.000
0.169 0.669 0.500
0.669 0.831 0.500
0.831 0.331 0.500
0.331 0.169 0.500

B) Mg2NbCu2, relaxed, DFT PBE-GGA; total magnetization = 0.0 μB/f.u.; Fermi-level density of states = 0.573 states/eV per atom
1.0
-3.510 0.796 -6.578
-4.089 -6.118 1.441
-1.998 1.633 1.264
Nb Mg Cu
2 4 4
direct
0.000 0.000 0.000
0.500 0.500 0.000
0.168 0.668 0.500
0.668 0.832 0.500
0.832 0.332 0.500
0.332 0.168 0.500
0.371 0.871 0.000
0.871 0.629 0.000
0.629 0.129 0.000
0.129 0.371 0.000

Computed stability ranking, most favorable first: B), A)